Entry 1:
An optimized crystal structure of RbMnTl2Co. Source: the Alexandria database, functional GGA-PBE.

Properties
Symmetry: No. 123
Formation energy from the elements, eV/f.u.: 9.0
Magnetic moment, μB per cell: 4.6
Uncorrected energy, eV/atom: -2.60

Unit cell a=6.1430 b=4.7415 c=6.1430 alpha=90.00 beta=90.00 gamma=90.00
Closest atoms and distances in Å follow each position.
Atoms (fractional coordinates):
Tl1 0.0000 0.0000 0.5000  2 Rb 3.07
Tl2 0.5000 0.0000 0.0000  2 Rb 3.07
Rb1 0.0000 0.0000 0.0000  2 Co 2.37
Mn1 0.5000 0.5000 0.5000  8 Tl 3.88, 4 Co 4.34
Co1 0.0000 0.5000 0.0000  2 Rb 2.37

Entry 2:
An optimized crystal structure of K2AlCu. Source: the Alexandria database, functional GGA-PBE.

Properties
Symmetry: No. 44
Formation energy from the elements, eV/f.u.: 1.0
Magnetic moment, μB per cell: 0.0
Uncorrected energy, eV/atom: -2.26

Unit cell a=6.6522 b=6.6522 c=6.6522 alpha=145.20 beta=126.45 gamma=65.47
Closest atoms and distances in Å follow each position.
Atoms (fractional coordinates):
Cu1 0.3104 0.8104 0.5000  2 Al 2.39
Al1 0.4291 0.4291 0.0000  2 Cu 2.39
K1 0.0358 0.0358 0.0000  4 Cu 3.66-3.92, 6 K 3.67-4.01, 4 Al 3.79
K2 0.7246 0.2246 0.5000  6 K 3.67-4.01, 4 Cu 3.72, 4 Al 3.77-3.86

Entry 3:
An optimized crystal structure of PrSm2Ag4. Source: the Alexandria database, functional GGA-PBE.

Properties
Symmetry: No. 139
Formation energy from the elements, eV/f.u.: -0.6
Magnetic moment, μB per cell: 0.0
Uncorrected energy, eV/atom: -3.74

Unit cell a=5.4572 b=5.4572 c=7.5175 alpha=111.28 beta=111.28 gamma=90.00
Closest atoms and distances in Å follow each position.
Atoms (fractional coordinates):
Sm1 0.7238 0.7238 0.4476  8 Ag 3.02-3.37
Sm2 0.2762 0.2762 0.5524  8 Ag 3.02-3.37
Ag1 0.1228 0.6228 0.2455  4 Sm 3.02-3.37, 2 Pr 3.16, 2 Ag 3.17-3.28
Ag2 0.3772 0.8772 0.7545  4 Sm 3.02-3.37, 2 Pr 3.16, 2 Ag 3.17-3.28
Ag3 0.6228 0.1228 0.2455  4 Sm 3.02-3.37, 2 Pr 3.16, 2 Ag 3.17-3.28
Ag4 0.8772 0.3772 0.7545  4 Sm 3.02-3.37, 2 Pr 3.16, 2 Ag 3.17-3.28
Pr1 0.0000 0.0000 0.0000  8 Ag 3.16

Entry 4:
An optimized crystal structure of AcHgF. Source: the Alexandria database, functional GGA-PBE.

Properties
Symmetry: No. 2
Magnetic moment, μB per cell: 0.0
Uncorrected energy, eV/atom: -4.13
Raw formation energy, kJ per mole of atoms: -196.18

Unit cell a=4.1325 b=5.8749 c=9.4489 alpha=71.83 beta=90.05 gamma=45.26
Closest atoms and distances in Å follow each position.
Atoms (fractional coordinates):
Hg1 0.6019 0.1470 0.6014  4 Hg 3.39-3.42, 5 Ac 3.39-3.42
Hg2 0.3981 0.8530 0.3986  4 Hg 3.39-3.42, 5 Ac 3.39-3.42
Ac1 0.8015 0.4478 0.8012  4 F 2.67-2.68
Ac2 0.1985 0.5522 0.1988  4 F 2.67-2.68
F1 0.4983 0.7518 0.9981  4 Ac 2.67-2.68, 4 F 2.93-2.94
F2 0.5017 0.2482 0.0019  4 Ac 2.67-2.68, 4 F 2.93-2.94

What did the first record say?
An optimized crystal structure of RbMnTl2Co. Source: the Alexandria database, functional GGA-PBE.

Properties
Symmetry: No. 123
Formation energy from the elements, eV/f.u.: 9.0
Magnetic moment, μB per cell: 4.6
Uncorrected energy, eV/atom: -2.60

Unit cell a=6.1430 b=4.7415 c=6.1430 alpha=90.00 beta=90.00 gamma=90.00
Closest atoms and distances in Å follow each position.
Atoms (fractional coordinates):
Tl1 0.0000 0.0000 0.5000  2 Rb 3.07
Tl2 0.5000 0.0000 0.0000  2 Rb 3.07
Rb1 0.0000 0.0000 0.0000  2 Co 2.37
Mn1 0.5000 0.5000 0.5000  8 Tl 3.88, 4 Co 4.34
Co1 0.0000 0.5000 0.0000  2 Rb 2.37

Copy entry 4 word for word.
An optimized crystal structure of AcHgF. Source: the Alexandria database, functional GGA-PBE.

Properties
Symmetry: No. 2
Magnetic moment, μB per cell: 0.0
Uncorrected energy, eV/atom: -4.13
Raw formation energy, kJ per mole of atoms: -196.18

Unit cell a=4.1325 b=5.8749 c=9.4489 alpha=71.83 beta=90.05 gamma=45.26
Closest atoms and distances in Å follow each position.
Atoms (fractional coordinates):
Hg1 0.6019 0.1470 0.6014  4 Hg 3.39-3.42, 5 Ac 3.39-3.42
Hg2 0.3981 0.8530 0.3986  4 Hg 3.39-3.42, 5 Ac 3.39-3.42
Ac1 0.8015 0.4478 0.8012  4 F 2.67-2.68
Ac2 0.1985 0.5522 0.1988  4 F 2.67-2.68
F1 0.4983 0.7518 0.9981  4 Ac 2.67-2.68, 4 F 2.93-2.94
F2 0.5017 0.2482 0.0019  4 Ac 2.67-2.68, 4 F 2.93-2.94

Q: What is the formula in the fourth record?
A: AcHgF